Entry 1:
This record from the Alexandria database describes a relaxed Li2CuAs2 crystal. The functional is PBE-GGA.

Summary:
polymorph energy (0 for the lowest one): 0.271 eV/atom
space-group type: P4/mbm (127)

Unit cell a=7.5165 b=7.5165 c=2.7221 alpha=90.00 beta=90.00 gamma=90.00
Last column: nearest neighbours and their distance in Å.
Atoms (fractional coordinates):
Li (0.1148, 0.3852, 0.0000)  3 Li 2.44-2.72, 6 As 2.50-2.70
Li (0.3852, 0.8852, 0.0000)  3 Li 2.44-2.72, 6 As 2.50-2.70
Li (0.6148, 0.1148, 0.0000)  3 Li 2.44-2.72, 6 As 2.50-2.70
Li (0.8852, 0.6148, 0.0000)  3 Li 2.44-2.72, 6 As 2.50-2.70
Cu (0.0000, 0.0000, 0.0000)  2 Cu 2.72, 4 Li 3.02
Cu (0.5000, 0.5000, 0.0000)  2 Cu 2.72, 4 Li 3.02
As (0.1874, 0.6874, 0.5000)  6 Li 2.50-2.70, 2 As 2.72
As (0.3126, 0.1874, 0.5000)  6 Li 2.50-2.70, 2 As 2.72
As (0.6874, 0.8126, 0.5000)  6 Li 2.50-2.70, 2 As 2.72
As (0.8126, 0.3126, 0.5000)  6 Li 2.50-2.70, 2 As 2.72


Entry 2:
This record from the Alexandria database describes a relaxed LiCuAs crystal. The functional is PBE-GGA.

Summary:
space-group type: P2_1/m (11)

Unit cell a=6.2606 b=3.9981 c=11.0715 alpha=90.00 beta=90.54 gamma=90.00
Last column: nearest neighbours and their distance in Å.
Atoms (fractional coordinates):
Li (0.0077, 0.2500, 0.2974)  5 As 2.72-2.84, 3 Cu 2.86-2.93
Li (0.3385, 0.2500, 0.0863)  5 As 2.69-2.88, 3 Cu 2.84-2.94
Li (0.4775, 0.2500, 0.3744)  5 As 2.68-2.79, 5 Cu 2.86-2.97
Li (0.5225, 0.7500, 0.6256)  5 As 2.68-2.79, 5 Cu 2.86-2.97
Li (0.6615, 0.7500, 0.9137)  5 As 2.69-2.88, 3 Cu 2.84-2.94
Li (0.9923, 0.7500, 0.7026)  5 As 2.72-2.84, 3 Cu 2.86-2.93
Cu (0.0155, 0.7500, 0.0896)  4 As 2.43-2.53, 1 Cu 2.55
Cu (0.1705, 0.7500, 0.4586)  4 As 2.42-2.49
Cu (0.3306, 0.2500, 0.7910)  4 As 2.41-2.47, 1 Cu 2.55
Cu (0.6694, 0.7500, 0.2090)  4 As 2.41-2.47, 1 Cu 2.55
Cu (0.8295, 0.2500, 0.5414)  4 As 2.42-2.49
Cu (0.9845, 0.2500, 0.9104)  4 As 2.43-2.53, 1 Cu 2.55
As (0.2233, 0.2500, 0.5777)  4 Cu 2.42-2.49
As (0.2317, 0.7500, 0.9085)  5 Cu 2.43-2.53, 2 Li 2.69-2.72
As (0.2916, 0.7500, 0.2507)  3 Cu 2.41-2.47, 2 Li 2.68
As (0.7084, 0.2500, 0.7493)  3 Cu 2.41-2.47, 2 Li 2.68
As (0.7683, 0.2500, 0.0915)  5 Cu 2.43-2.53, 2 Li 2.69-2.72
As (0.7767, 0.7500, 0.4223)  4 Cu 2.42-2.49


| no. | energy of formation from the pure elements (kJ/mol of formula units) | DFT total energy (eV/cell) |
| --- | --- | --- |
| 1 | -71 | -35.91 |
| 2 | -104 | -70.42 |